Record 1
A plane-wave DFT calculation with PBE was carried out for an optimized crystal structure of HPtAu.

Computed properties:
electronic total energy	-4.161	eV/atom
SG	P3m1

```
3
Lattice="-0.7296 -2.6861 1.1449 1.6322 0.1673 -2.5231 4.0457 0.0170 2.6182" Properties=species:S:1:pos:R:3 pbc="T T T"
H 3.0764 -0.7744 0.1437
Au 3.9674 0.0167 2.5676
Pt 1.9500 -1.7270 1.1469
```

---

Record 2
A plane-wave DFT calculation with PBE was carried out for an optimized crystal structure of La4GePbSe2.

Computed properties:
formation energy from raw total energies	-1.345	eV/atom
SG	P2/m

```
8
Lattice="-3.4826 2.3404 1.4602 -1.0598 -5.1042 5.6534 4.0853 2.1778 6.2532" Properties=species:S:1:pos:R:3 pbc="T T T"
La 2.2146 -2.2470 8.8836
La -2.6718 1.6610 4.4831
La -1.4687 -2.0716 6.5763
La 1.0115 1.4855 6.7904
Ge 1.5127 -1.4632 5.9533
Pb -2.2712 -1.3819 3.5568
Se 4.0853 2.1778 6.2532
Se 0.3013 2.2591 3.8567
```

---

Record 3
A plane-wave DFT calculation with PBE was carried out for an optimized crystal structure of Nd6Co2HI3.

Computed properties:
electronic total energy	-4.830	eV/atom
SG	C2/m

```
12
Lattice="7.0122 0.0206 -0.0029 -3.4865 6.0840 -0.0029 -1.1789 -2.0413 8.0543" Properties=species:S:1:pos:R:3 pbc="T T T"
Nd 3.5485 1.9846 6.5951
Nd 2.3108 4.0012 1.4621
Nd -1.2018 2.0788 1.4534
Nd -0.0544 4.0654 6.5951
Nd 0.0359 0.0622 6.5864
Nd 2.4012 -0.0020 1.4534
Co 0.0187 4.0596 -0.0029
Co 3.5069 2.0450 -0.0029
H 0.0000 0.0000 0.0000
I -2.3143 4.0460 4.0243
I 4.6611 0.0174 4.0243
I 1.1734 2.0317 4.0243
```

---

Record 4
A plane-wave DFT calculation with PBE was carried out for an optimized crystal structure of SnBiS2I.

Computed properties:
formation energy from raw total energies	-0.387	eV/atom
SG	P2_1/m

```
10
Lattice="4.1906 0.0000 0.0000 0.0000 8.4559 -0.7067 0.0000 -4.1126 10.2320" Properties=species:S:1:pos:R:3 pbc="T T T"
Sn 1.0477 0.5154 5.3124
Sn 3.1430 3.8279 4.2129
Bi 1.0477 2.5696 0.2556
Bi 3.1430 1.7738 9.2697
S 3.1430 1.9442 6.1678
S 1.0477 2.3992 3.3575
S 3.1430 4.1565 1.1050
S 1.0477 0.1868 8.4203
I 1.0477 7.4754 0.9100
I 3.1430 -3.1321 8.6153
```

---

Record 5
A plane-wave DFT calculation with PBE was carried out for an optimized crystal structure of CsTcAs2O8.

Computed properties:
formation energy from raw total energies	-1.319	eV/atom
SG	R-3

```
12
Lattice="5.0885 0.0000 0.0000 2.5442 4.4067 0.0000 2.5442 1.4689 9.5482" Properties=species:S:1:pos:R:3 pbc="T T T"
Cs 5.0885 2.9378 4.7741
Tc 0.0000 0.0000 0.0000
As 2.5442 1.4689 1.7699
As 7.6327 4.4067 7.7784
O 2.5442 1.4689 3.4359
O 4.1761 1.3102 1.1482
O 7.6327 4.4067 6.1123
O 6.9542 2.9615 1.1482
O 3.2227 2.9142 8.4000
O 4.1351 4.5418 1.1482
O 6.0418 1.3339 8.4000
O 6.0009 4.5654 8.4000
```

---

Record 6
A plane-wave DFT calculation with PBE was carried out for an optimized crystal structure of Ba4Na2Mg.

Computed properties:
electronic total energy	-1.627	eV/atom
SG	R-3m

```
7
Lattice="6.1146 0.0000 1.9103 2.7589 5.4568 1.9103 -0.0712 -0.0438 10.9688" Properties=species:S:1:pos:R:3 pbc="T T T"
Ba 7.7441 4.7623 7.4353
Ba 1.0581 0.6507 7.3542
Ba 5.5394 3.4065 3.7512
Ba 3.2628 2.0065 11.0383
Na 6.5741 4.0428 11.1802
Na 2.2281 1.3702 3.6093
Mg 0.0000 0.0000 0.0000
```

---

Record 7
A plane-wave DFT calculation with PBE was carried out for an optimized crystal structure of TaAgBr2.

Computed properties:
formation energy from raw total energies	-0.050	eV/atom
SG	Amm2

```
4
Lattice="-2.5443 -0.3426 2.3567 2.2922 -1.6943 2.2285 3.2393 6.3362 4.4182" Properties=species:S:1:pos:R:3 pbc="T T T"
Br 3.1621 5.4753 4.2098
Br 0.6947 1.1976 3.5007
Ag 2.6774 3.2248 5.9360
Ta 2.4581 3.0590 3.0985
```

---

Record 8
A plane-wave DFT calculation with PBE was carried out for an optimized crystal structure of Cr3W.

Computed properties:
electronic total energy	-10.387	eV/atom
SG	Cm

```
16
Lattice="-0.9829 -5.7766 0.9582 5.5910 -1.2248 -1.5274 7.2352 -0.5472 4.1232" Properties=species:S:1:pos:R:3 pbc="T T T"
Cr 10.0135 -1.1786 3.3466
Cr 9.5325 -4.0287 3.8304
Cr 1.5861 -1.5630 1.2780
Cr 6.6733 -5.7104 0.2403
Cr 4.3510 -2.1821 0.5215
Cr 6.4307 -0.9076 1.3048
Cr 5.9342 -3.7566 1.7798
Cr 9.1928 -1.5031 0.5612
Cr 7.9913 -2.4517 2.5437
Cr 7.4919 -5.3782 3.0317
Cr 5.1646 -1.8336 3.3173
Cr 10.2572 -5.9815 2.2827
W 7.2491 -0.5723 4.0955
W 6.7624 -3.4293 4.5704
W 3.8478 -5.0997 1.0172
W 8.7040 -4.3533 1.0408
```

---

Record 9
A plane-wave DFT calculation with PBE was carried out for an optimized crystal structure of LiOs2RuPb.

Computed properties:
electronic total energy	-5.935	eV/atom
SG	P4/mmm

```
5
Lattice="-1.5729 2.0691 3.9580 -4.6690 -2.0178 -0.8007 1.2293 -3.8336 2.4926" Properties=species:S:1:pos:R:3 pbc="T T T"
Pb -2.3345 -1.0089 -0.4003
Ru 0.0000 0.0000 0.0000
Os 0.6146 -1.9168 1.2463
Os -0.7864 1.0345 1.9790
Li -2.5063 -1.8912 2.8249
```

---

Record 10
A plane-wave DFT calculation with PBE was carried out for an optimized crystal structure of ScReI2N.

Computed properties:
formation energy from raw total energies	0.982	eV/atom
SG	P4/mmm

```
5
Lattice="-4.6152 1.6913 -3.2691 2.5036 -2.4008 -4.7765 -1.7747 -3.3684 0.7628" Properties=species:S:1:pos:R:3 pbc="T T T"
I 1.2518 -1.2004 -2.3883
I -2.3076 0.8457 -1.6345
Re -1.9432 -2.0390 -3.6414
Sc 0.0000 0.0000 0.0000
N -0.8874 -1.6842 0.3814
```